Density functional theory data (PBE-GGA) for a relaxed structure of Dy5TeIr2.

Its total magnetic moment is 0.00 μB per formula unit. As for the total DFT energy (no corrections): -6.35 eV per atom.

The structure belongs to space group I4/mcm (No. 140); the cell edges are 7.790, 7.790 and 13.501 Å and the angles 90.00°, 90.00° and 90.00°. Symmetry generates all atoms from Dy at (0.000, 0.000, 0.000), Dy at (0.155, 0.345, 0.133), Te at (0.000, 0.000, 0.250) and Ir at (0.141, 0.359, 0.500).

---

Density functional theory data (PBE-GGA) for a relaxed structure of Cr3InS.

Its total magnetic moment is 11.87 μB per formula unit. As for the total DFT energy (no corrections): -5.64 eV per atom.

The structure belongs to space group Pm-3m (No. 221); the cell edges are 5.061, 5.061 and 5.061 Å and the angles 90.00°, 90.00° and 90.00°. Symmetry generates all atoms from Cr at (0.000, 0.000, 0.500), In at (0.000, 0.000, 0.000) and S at (0.500, 0.500, 0.500).

---

Density functional theory data (PBE-GGA) for a relaxed structure of Er2Tm3Bi2.

For the energy relative to the elements, the calculation gives -0.424 eV/atom. Its total magnetic moment is 0.00 μB per formula unit.

The structure belongs to space group C2/m (No. 12); the cell edges are 11.959, 4.311 and 8.462 Å and the angles 90.00°, 107.78° and 90.00°. Symmetry generates all atoms from Er at (0.116, 0.000, 0.259), Tm at (0.000, 0.500, 0.500), Tm at (0.127, 0.500, 0.942) and Bi at (0.178, 0.000, 0.684).